HfPSCl2: optimized geometry, PBE.

Summary:
**Density of states at the Fermi level**: 0.308 states/eV/atom
**Total magnetization**: 2.946 μB/cell
**Polymorph energy (0 for the lowest one)**: 0.0 meV/atom
**Final energy**: -5.05 eV/atom
**Raw formation energy**: -0.416 eV/atom
**Calculated density**: 4.10 g cm⁻³

Lattice parameters (Å, degrees): 5.0787 5.0787 4.9041 90.00 90.00 90.00
Closest atoms and distances in Å follow each position.
Space group P4/mmm (No. 123)
Asymmetric unit:
Hf (0.0000, 0.0000, 0.0000) (multiplicity 1)  2 S 2.45, 4 Cl 2.54
P (0.5000, 0.5000, 0.5000) (multiplicity 1)  8 Cl 3.53, 4 S 3.59
S (0.0000, 0.0000, 0.5000) (multiplicity 1)  2 Hf 2.45
Cl (0.0000, 0.5000, 0.0000) (multiplicity 2)  2 Hf 2.54

HfSbPCl2: optimized geometry, PBE.

Summary:
**Density of states at the Fermi level**: 1.105 states/eV/atom
**Total magnetization**: 1.629 μB/cell
**Polymorph energy (0 for the lowest one)**: 1019.3 meV/atom
**Final energy**: -4.00 eV/atom
**Raw formation energy**: 0.633 eV/atom
**Calculated density**: 4.81 g cm⁻³

Lattice parameters (Å, degrees): 5.0373 5.0373 5.4728 90.00 90.00 90.00
Closest atoms and distances in Å follow each position.
Space group P4/mmm (No. 123)
Asymmetric unit:
Hf (0.0000, 0.0000, 0.0000) (multiplicity 1)  4 P 3.56, 8 Cl 3.72
Sb (0.5000, 0.5000, 0.5000) (multiplicity 1)  4 Cl 2.52, 2 P 2.74
P (0.5000, 0.5000, 0.0000) (multiplicity 1)  2 Sb 2.74
Cl (0.0000, 0.5000, 0.5000) (multiplicity 2)  2 Sb 2.52

HfSbPCl2: optimized geometry, PBE.

Summary:
**Density of states at the Fermi level**: 0.617 states/eV/atom
**Total magnetization**: 1.337 μB/cell
**Polymorph energy (0 for the lowest one)**: 0.0 meV/atom
**Final energy**: -5.02 eV/atom
**Raw formation energy**: -0.386 eV/atom
**Calculated density**: 5.31 g cm⁻³

Lattice parameters (Å, degrees): 4.8526 4.8526 5.3435 90.00 90.00 90.00
Closest atoms and distances in Å follow each position.
Space group P4/mmm (No. 123)
Asymmetric unit:
Hf (0.0000, 0.0000, 0.0000) (multiplicity 1)  4 Cl 2.43, 2 P 2.67
Sb (0.5000, 0.5000, 0.5000) (multiplicity 1)  4 P 3.43, 8 Cl 3.61
P (0.0000, 0.0000, 0.5000) (multiplicity 1)  2 Hf 2.67
Cl (0.0000, 0.5000, 0.0000) (multiplicity 2)  2 Hf 2.43

HfScP2Cl: optimized geometry, PBE.

Summary:
**Density of states at the Fermi level**: 0.490 states/eV/atom
**Total magnetization**: 0.000 μB/cell
**Polymorph energy (0 for the lowest one)**: 0.0 meV/atom
**Final energy**: -6.21 eV/atom
**Raw formation energy**: -0.416 eV/atom
**Calculated density**: 4.47 g cm⁻³

Lattice parameters (Å, degrees): 5.0209 5.0209 4.7308 90.00 90.00 90.00
Closest atoms and distances in Å follow each position.
Space group P4/mmm (No. 123)
Asymmetric unit:
Hf (0.0000, 0.0000, 0.0000) (multiplicity 1)  2 Cl 2.37, 4 P 2.51
Sc (0.5000, 0.5000, 0.5000) (multiplicity 1)  8 P 3.45, 4 Cl 3.55
P (0.0000, 0.5000, 0.0000) (multiplicity 2)  2 Hf 2.51
Cl (0.0000, 0.0000, 0.5000) (multiplicity 1)  2 Hf 2.37

- What is the formula in the third record?
  HfSbPCl2

Please write out number 1 again, unchanged.
HfPSCl2: optimized geometry, PBE.

Summary:
**Density of states at the Fermi level**: 0.308 states/eV/atom
**Total magnetization**: 2.946 μB/cell
**Polymorph energy (0 for the lowest one)**: 0.0 meV/atom
**Final energy**: -5.05 eV/atom
**Raw formation energy**: -0.416 eV/atom
**Calculated density**: 4.10 g cm⁻³

Lattice parameters (Å, degrees): 5.0787 5.0787 4.9041 90.00 90.00 90.00
Closest atoms and distances in Å follow each position.
Space group P4/mmm (No. 123)
Asymmetric unit:
Hf (0.0000, 0.0000, 0.0000) (multiplicity 1)  2 S 2.45, 4 Cl 2.54
P (0.5000, 0.5000, 0.5000) (multiplicity 1)  8 Cl 3.53, 4 S 3.59
S (0.0000, 0.0000, 0.5000) (multiplicity 1)  2 Hf 2.45
Cl (0.0000, 0.5000, 0.0000) (multiplicity 2)  2 Hf 2.54

- What is the formula in the first record?
  HfPSCl2